Entry 1:
LiCuTc2B after structural relaxation, computed with PBE.

The structure in POSCAR format:
```
LiCuTc2B
1.0
-2.2645 -2.3786 2.5417
2.4233 -2.6318 -0.3039
2.0644 1.5238 3.2653
B Tc Cu Li
1 2 1 1
direct
0.5000 0.5000 0.5000
0.0000 0.0000 0.5000
0.5000 0.0000 0.0000
0.0000 0.5000 0.0000
0.0000 0.0000 0.0000
```

Values from the calculation:
The value obtained for the formation energy is 1.676 eV/atom.

=====

Entry 2:
Li2CuBTe after structural relaxation, computed with PBE.

The structure in POSCAR format:
```
Li2CuBTe
1.0
-2.8153 4.2376 -0.6560
-2.7029 -2.3196 -3.3848
-3.2288 -1.5785 3.6601
B Te Cu Li
1 1 1 2
direct
0.5000 0.5000 0.5000
0.0000 0.0000 0.0000
0.0000 0.5000 0.0000
0.0000 0.0000 0.5000
0.5000 0.0000 0.0000
```

Values from the calculation:
The uncorrected formation energy comes out at 4.3 eV per formula unit.

=====

Entry 3:
LiZnCuB2 after structural relaxation, computed with PBE.

The structure in POSCAR format:
```
LiZnCuB2
1.0
-0.6804 -3.4009 -1.3946
2.0355 1.0234 -3.4887
3.1900 -1.2510 1.4943
Zn B Cu Li
1 2 1 1
direct
0.0000 0.5000 0.0000
0.0000 0.0000 0.5000
0.5000 0.0000 0.0000
0.5000 0.5000 0.5000
0.0000 0.0000 0.0000
```

Values from the calculation:
The value obtained for the formation energy is 1.489 eV/atom.

=====

Entry 4:
Li2ZrCuB after structural relaxation, computed with PBE.

The structure in POSCAR format:
```
Li2ZrCuB
1.0
4.0219 0.0000 0.0000
0.0000 5.2045 0.0000
0.0000 0.0000 4.0219
B Cu Zr Li
1 1 1 2
direct
0.5000 0.5000 0.5000
0.0000 0.0000 0.0000
0.0000 0.5000 0.0000
0.0000 0.0000 0.5000
0.5000 0.0000 0.0000
```

Values from the calculation:
The value obtained for the formation energy is 0.854 eV/atom.

=====

Entry 5:
TmLuCuB after structural relaxation, computed with PBE.

The structure in POSCAR format:
```
TmLuCuB
1.0
-4.5709 0.3640 -0.6745
-2.9475 -1.9433 3.0026
-2.5505 2.6699 2.8012
B Lu Tm Cu
1 1 1 1
direct
0.7500 0.7500 0.7500
0.0000 0.0000 0.0000
0.5000 0.5000 0.5000
0.2500 0.2500 0.2500
```

Values from the calculation:
The value obtained for the formation energy is -0.036 eV/atom.

=====

Entry 6:
MgCuB after structural relaxation, computed with PBE.

The structure in POSCAR format:
```
MgCuB
1.0
-0.8660 -3.0980 2.3856
4.7998 0.4305 -0.5459
-1.1233 3.9405 2.6235
Mg B Cu
2 2 2
direct
0.2226 0.5197 0.5142
0.1621 0.1176 0.8725
0.7949 0.4432 0.8047
0.1967 0.6879 0.0632
0.4862 0.0783 0.4360
0.7582 0.7628 0.1776
```

Values from the calculation:
The value obtained for the formation energy is 0.046 eV/atom. The energy relative to the lowest polymorph listed for this composition comes out at 50 meV per atom.

=====

Entry 7:
MgCuB after structural relaxation, computed with PBE.

The structure in POSCAR format:
```
MgCuB
1.0
3.7900 0.0107 -0.0283
-1.8526 4.0343 0.0112
-0.1597 -1.2641 5.4161
Mg B Cu
2 2 2
direct
0.5550 0.9862 0.3350
0.1011 0.0844 0.8754
0.8048 0.4730 0.7372
0.8527 0.5976 0.4729
0.3294 0.5364 0.6062
0.8284 0.5353 0.1051
```

Values from the calculation:
The value obtained for the formation energy is 0.072 eV/atom. The energy relative to the lowest polymorph listed for this composition comes out at 76 meV per atom.

=====

Entry 8:
Mg2CuB after structural relaxation, computed with PBE.

The structure in POSCAR format:
```
Mg2CuB
1.0
-4.5011 1.8833 7.5443
-7.6879 -2.3845 -3.9915
-5.8381 -2.1107 2.3937
Mg B Cu
4 2 2
direct
0.3747 0.1250 0.2500
0.3753 0.6250 0.2500
0.3750 0.6253 0.7500
0.8750 0.6247 0.7500
0.5000 0.5000 0.0000
0.2500 0.7500 0.5000
0.0000 0.0000 0.0000
0.7500 0.2500 0.5000
```

Values from the calculation:
The value obtained for the formation energy is 0.242 eV/atom.

=====

Entry 9:
Mg2CuB2 after structural relaxation, computed with PBE.

The structure in POSCAR format:
```
Mg2CuB2
1.0
5.6764 0.0000 0.0000
0.0000 5.6764 0.0000
0.0000 0.0000 3.6471
Mg B Cu
4 4 2
direct
0.1819 0.6819 0.5000
0.6819 0.8181 0.5000
0.8181 0.3181 0.5000
0.3181 0.1819 0.5000
0.3948 0.8948 0.0000
0.8948 0.6052 0.0000
0.6052 0.1052 0.0000
0.1052 0.3948 0.0000
0.0000 0.0000 0.0000
0.5000 0.5000 0.0000
```

Values from the calculation:
The value obtained for the formation energy is 0.144 eV/atom.

=====

Entry 10:
MgCuB after structural relaxation, computed with PBE.

The structure in POSCAR format:
```
MgCuB
1.0
11.4302 0.0000 0.0000
0.0000 4.0377 0.0000
0.0000 0.0000 3.2839
Mg B Cu
4 4 4
direct
0.8691 0.0000 0.5000
0.1309 0.0000 0.5000
0.3691 0.5000 0.5000
0.6309 0.5000 0.5000
0.0000 0.5000 0.2524
0.0000 0.5000 0.7476
0.5000 0.0000 0.2524
0.5000 0.0000 0.7476
0.3204 0.0000 0.0000
0.6796 0.0000 0.0000
0.8204 0.5000 0.0000
0.1796 0.5000 0.0000
```

Values from the calculation:
The value obtained for the formation energy is -0.004 eV/atom. The energy relative to the lowest polymorph listed for this composition comes out at 0 meV per atom.

=====

Entry 11:
Mg2Cu2B after structural relaxation, computed with PBE.

The structure in POSCAR format:
```
Mg2Cu2B
1.0
-2.5685 -2.6150 1.1121
-0.9591 -0.6133 -3.6573
2.2608 -5.7231 -1.6389
Mg B Cu
2 1 2
direct
0.7500 0.2500 0.5000
0.2500 0.7500 0.5000
0.0000 0.0000 0.0000
0.4021 0.4021 0.1959
0.5979 0.5979 0.8041
```

Values from the calculation:
The value obtained for the formation energy is 1.023 eV/atom. The energy relative to the lowest polymorph listed for this composition comes out at 822 meV per atom.

=====

Entry 12:
Mg14CuB after structural relaxation, computed with PBE.

The structure in POSCAR format:
```
Mg14CuB
1.0
3.1016 -5.3722 0.0000
3.1016 5.3722 0.0000
0.0000 0.0000 9.7851
Mg Cu B
14 1 1
direct
0.0011 0.5006 0.0000
0.9960 0.4980 0.5000
0.4994 0.9989 0.0000
0.5020 0.0040 0.5000
0.4994 0.5006 0.0000
0.5020 0.4980 0.5000
0.1592 0.8408 0.2573
0.1592 0.8408 0.7427
0.1592 0.3183 0.2573
0.1592 0.3183 0.7427
0.6817 0.8408 0.2573
0.6817 0.8408 0.7427
0.6667 0.3333 0.2501
0.6667 0.3333 0.7499
0.0000 0.0000 0.0000
0.0000 0.0000 0.5000
```

Values from the calculation:
The value obtained for the formation energy is 0.186 eV/atom. The energy relative to the lowest polymorph listed for this composition comes out at 42 meV per atom.

=====

Let's list magnetic moment in order: 0.00 1.38 0.00 0.00 0.00 0.00 0.00 0.00 0.00 0.00 0.00 0.00 μB/cell.
Let's list E in order: -5.007 -2.689 -2.639 -3.776 -4.977 -4.077 -4.051 -3.248 -3.984 -4.127 -2.589 -1.883 eV/atom.